Entry 1:
Density functional theory data (PBE-GGA) for a geometry-optimized LiAu2 structure.

Cell lengths 5.028, 5.028, 5.028 Å; angles 147.12, 132.92, 58.62 degrees
Atoms (fractional coordinates):
Li1 0.000 0.000 0.000
Au1 0.340 0.340 0.000
Au2 0.660 0.660 0.000

Computed properties:
- Energy of formation: -0.392 eV per atom
- Theoretical density: 13.3 Mg/m³
- Final energy: -9.645 eV per cell


Entry 2:
Density functional theory data (PBE-GGA) for a geometry-optimized LiPaBiN structure.

Cell lengths 4.038, 4.038, 9.869 Å; angles 90.00, 90.00, 90.00 degrees
Atoms (fractional coordinates):
Li1 0.250 0.750 0.000
Li2 0.750 0.250 0.000
Pa1 0.250 0.250 0.385
Pa2 0.750 0.750 0.615
Bi1 0.250 0.250 0.798
Bi2 0.750 0.750 0.202
N1 0.250 0.750 0.500
N2 0.750 0.250 0.500

Computed properties:
- ΔE_f (raw): -1.05 eV per atom
- Theoretical density: 9.5 Mg/m³
- Final energy: -55.671 eV per cell


Entry 3:
Density functional theory data (PBE-GGA) for a geometry-optimized Sc2SbBr structure.

Cell lengths 5.110, 5.110, 3.460 Å; angles 90.00, 90.00, 90.00 degrees
Atoms (fractional coordinates):
Sc1 0.000 0.500 0.000
Sc2 0.500 0.000 0.000
Sb1 0.000 0.000 0.500
Br1 0.500 0.500 0.500

Computed properties:
- ΔE_f (raw): -0.73 eV per atom
- Relative energy among the computed polymorphs: 117 meV per atom
- Theoretical density: 5.4 Mg/m³
- Final energy: -21.360 eV per cell


Entry 4:
Density functional theory data (PBE-GGA) for a geometry-optimized Tl3Sn2Sb4 structure.

Cell lengths 9.346, 9.346, 7.202 Å; angles 91.88, 91.88, 72.04 degrees
Atoms (fractional coordinates):
Tl1 0.053 0.947 0.750
Tl2 0.296 0.507 0.115
Tl3 0.493 0.704 0.385
Tl4 0.507 0.296 0.615
Tl5 0.704 0.493 0.885
Tl6 0.947 0.053 0.250
Sn1 0.093 0.339 0.639
Sn2 0.339 0.093 0.139
Sn3 0.661 0.907 0.861
Sn4 0.907 0.661 0.361
Sb1 0.052 0.315 0.034
Sb2 0.198 0.598 0.559
Sb3 0.315 0.052 0.534
Sb4 0.402 0.802 0.941
Sb5 0.598 0.198 0.059
Sb6 0.685 0.948 0.466
Sb7 0.802 0.402 0.441
Sb8 0.948 0.685 0.966

Computed properties:
- ΔE_f (raw): 0.05 eV per atom
- Relative energy among the computed polymorphs: 0 meV per atom
- Theoretical density: 7.4 Mg/m³
- Final energy: -62.339 eV per cell


Entry 5:
Density functional theory data (PBE-GGA) for a geometry-optimized In2SnCl structure.

Cell lengths 3.460, 3.460, 9.040 Å; angles 90.00, 90.00, 90.00 degrees
Atoms (fractional coordinates):
In1 0.000 0.000 0.237
In2 0.000 0.000 0.763
Sn1 0.500 0.500 0.500
Cl1 0.500 0.500 0.000

Computed properties:
- ΔE_f (raw): -0.23 eV per atom
- Relative energy among the computed polymorphs: 61 meV per atom
- Theoretical density: 5.9 Mg/m³
- Final energy: -12.240 eV per cell


Entry 6:
Density functional theory data (PBE-GGA) for a geometry-optimized NaReN2F structure.

Cell lengths 3.866, 3.866, 4.283 Å; angles 90.00, 90.00, 90.00 degrees
Atoms (fractional coordinates):
Na1 0.000 0.000 0.000
Re1 0.500 0.500 0.500
N1 0.000 0.500 0.500
N2 0.500 0.000 0.500
F1 0.500 0.500 0.000

Computed properties:
- ΔE_f (raw): -0.51 eV per atom
- Relative energy among the computed polymorphs: 0 meV per atom
- Theoretical density: 6.6 Mg/m³
- Final energy: -34.846 eV per cell


Entry 7:
Density functional theory data (PBE-GGA) for a geometry-optimized Er2GaSe structure.

Cell lengths 11.257, 11.257, 3.998 Å; angles 90.00, 90.00, 158.45 degrees
Atoms (fractional coordinates):
Er1 0.066 0.934 0.750
Er2 0.323 0.677 0.750
Er3 0.677 0.323 0.250
Er4 0.934 0.066 0.250
Ga1 0.460 0.540 0.750
Ga2 0.540 0.460 0.250
Se1 0.193 0.807 0.750
Se2 0.807 0.193 0.250

Computed properties:
- ΔE_f (raw): -1.22 eV per atom
- Relative energy among the computed polymorphs: 0 meV per atom
- Theoretical density: 8.6 Mg/m³
- Final energy: -41.023 eV per cell


Entry 8:
Density functional theory data (PBE-GGA) for a geometry-optimized Cr2N structure.

Cell lengths 4.783, 4.783, 4.410 Å; angles 90.00, 90.00, 120.00 degrees
Atoms (fractional coordinates):
Cr1 0.000 0.326 0.253
Cr2 0.000 0.674 0.747
Cr3 0.326 0.000 0.253
Cr4 0.326 0.326 0.747
Cr5 0.674 0.000 0.747
Cr6 0.674 0.674 0.253
N1 0.000 0.000 0.000
N2 0.333 0.667 0.500
N3 0.667 0.333 0.500

Computed properties:
- ΔE_f (raw): -0.41 eV per atom
- Theoretical density: 6.7 Mg/m³
- Final energy: -86.397 eV per cell


Entry 9:
Density functional theory data (PBE-GGA) for a geometry-optimized Pr6Dy3Ho2Sc structure.

Cell lengths 6.269, 6.269, 11.786 Å; angles 95.08, 95.08, 119.99 degrees
Atoms (fractional coordinates):
Pr1 0.082 0.413 0.247
Pr2 0.249 0.249 0.753
Pr3 0.413 0.082 0.247
Pr4 0.587 0.918 0.753
Pr5 0.751 0.751 0.247
Pr6 0.918 0.587 0.753
Dy1 0.167 0.833 0.500
Dy2 0.500 0.500 0.500
Dy3 0.833 0.167 0.500
Ho1 0.333 0.667 0.000
Ho2 0.667 0.333 0.000
Sc1 0.000 0.000 0.000

Computed properties:
- Energy of formation: 0.024 eV per atom
- Theoretical density: 7.2 Mg/m³
- Final energy: -57.677 eV per cell


Entry 10:
Density functional theory data (PBE-GGA) for a geometry-optimized LiHgAu2 structure.

Cell lengths 10.360, 10.360, 10.360 Å; angles 157.88, 157.88, 31.49 degrees
Atoms (fractional coordinates):
Li1 0.000 0.000 0.000
Li2 0.750 0.250 0.500
Hg1 0.250 0.750 0.500
Hg2 0.500 0.500 0.000
Au1 0.120 0.625 0.995
Au2 0.375 0.370 0.495
Au3 0.630 0.125 0.005
Au4 0.875 0.880 0.505

Computed properties:
- Energy of formation: -0.160 eV per atom
- Theoretical density: 12.7 Mg/m³
- Final energy: -18.821 eV per cell


Entry 11:
Density functional theory data (PBE-GGA) for a geometry-optimized Mg2Zn2S structure.

Cell lengths 6.628, 6.628, 6.628 Å; angles 143.35, 143.35, 52.81 degrees
Atoms (fractional coordinates):
Mg1 0.250 0.750 0.500
Mg2 0.750 0.250 0.500
Zn1 0.098 0.098 0.000
Zn2 0.902 0.902 0.000
S1 0.500 0.500 0.000

Computed properties:
- ΔE_f (raw): 0.19 eV per atom
- Relative energy among the computed polymorphs: 282 meV per atom
- Theoretical density: 3.4 Mg/m³
- Final energy: -8.905 eV per cell


Entry 12:
Density functional theory data (PBE-GGA) for a geometry-optimized HfNbSbH2 structure.

Cell lengths 3.898, 3.898, 5.474 Å; angles 90.00, 90.00, 90.00 degrees
Atoms (fractional coordinates):
Hf1 0.000 0.000 0.000
Nb1 0.500 0.500 0.500
Sb1 0.500 0.500 0.000
H1 0.000 0.500 0.500
H2 0.500 0.000 0.500

Computed properties:
- Theoretical density: 7.9 Mg/m³
- Final energy: -29.073 eV per cell


Question: Number 7 is which compound?
Answer: Er2GaSe


Question: Which value of theoretical density does entry 4 give?
Answer: 7.4 Mg/m³